(1)
The following is a DFT calculation (GGA-PBE) of an optimized crystal structure of Cu2RuW.

Computed properties:
Energy of formation from the pure elements, eV/f.u.: 1.23
Volume, Å³/cell: 55
Crystal system: cubic

Cell lengths 4.271, 4.271, 4.271 Å; angles 60.00, 60.00, 60.00 degrees
Fractional positions:
1 Cu 0.000 0.000 0.000
2 Cu 0.250 0.250 0.250
3 Ru 0.500 0.500 0.500
4 W 0.750 0.750 0.750

(2)
The following is a DFT calculation (GGA-PBE) of an optimized crystal structure of CuRuW2.

Computed properties:
Energy of formation from the pure elements, eV/f.u.: 1.05
Volume, Å³/cell: 60
Crystal system: orthorhombic

Cell lengths 2.707, 2.707, 8.471 Å; angles 90.00, 90.00, 105.99 degrees
Fractional positions:
1 Cu 0.000 0.000 0.503
2 Ru 0.500 0.500 0.745
3 W 0.000 0.000 0.993
4 W 0.500 0.500 0.258